[1]
Material: CsAgB10H10
Method: DFT, PBE
State: relaxed

Values from the calculation:
Total DFT energy (no corrections) = -4.92 eV/atom
Space group = No. 57
V = 10.618 A^3/atom

abc: 9.6910 10.7588 8.9616
angles: 90.00 90.00 90.00
Closest atoms and distances in Å follow each position.
Atoms (fractional coordinates):
Ag: 0.5095 0.2500 0.0000  6 H 2.09-2.31
Ag: 0.4905 0.7500 0.0000  6 H 2.09-2.31
Ag: 0.5095 0.2500 0.5000  6 H 2.09-2.31
Ag: 0.4905 0.7500 0.5000  6 H 2.09-2.31
B: 0.6555 0.4248 0.1063  1 H 1.22
B: 0.3445 0.9248 0.1063  1 H 1.22
B: 0.8342 0.4509 0.1484  1 H 1.20
B: 0.1658 0.9509 0.1484  1 H 1.20
B: 0.2899 0.0800 0.1493  1 H 1.22
B: 0.7101 0.5800 0.1493  1 H 1.22
B: 0.4326 0.0153 0.2500  1 H 1.20
B: 0.1415 0.0837 0.2500  1 H 1.20
B: 0.7430 0.3327 0.2500  1 H 1.20
B: 0.5671 0.3573 0.2500  1 H 1.22
B: 0.5674 0.5153 0.2500  1 H 1.20
B: 0.8585 0.5837 0.2500  1 H 1.20
B: 0.2570 0.8327 0.2500  1 H 1.20
B: 0.4329 0.8573 0.2500  1 H 1.22
B: 0.2899 0.0800 0.3507  1 H 1.22
B: 0.7101 0.5800 0.3507  1 H 1.22
B: 0.8342 0.4509 0.3516  1 H 1.20
B: 0.1658 0.9509 0.3516  1 H 1.20
B: 0.6555 0.4248 0.3937  1 H 1.22
B: 0.3445 0.9248 0.3937  1 H 1.22
B: 0.6555 0.0752 0.6063  1 H 1.22
B: 0.3445 0.5752 0.6063  1 H 1.22
B: 0.8342 0.0491 0.6484  1 H 1.20
B: 0.1658 0.5491 0.6484  1 H 1.20
B: 0.2899 0.4200 0.6493  1 H 1.22
B: 0.7101 0.9200 0.6493  1 H 1.22
B: 0.5671 0.1427 0.7500  1 H 1.22
B: 0.7430 0.1673 0.7500  1 H 1.20
B: 0.1415 0.4163 0.7500  1 H 1.20
B: 0.4326 0.4847 0.7500  1 H 1.20
B: 0.4329 0.6427 0.7500  1 H 1.22
B: 0.2570 0.6673 0.7500  1 H 1.20
B: 0.8585 0.9163 0.7500  1 H 1.20
B: 0.5674 0.9847 0.7500  1 H 1.20
B: 0.2899 0.4200 0.8507  1 H 1.22
B: 0.7101 0.9200 0.8507  1 H 1.22
B: 0.8342 0.0491 0.8516  1 H 1.20
B: 0.1658 0.5491 0.8516  1 H 1.20
B: 0.6555 0.0752 0.8937  1 H 1.22
B: 0.3445 0.5752 0.8937  1 H 1.22
Cs: 0.1811 0.4352 0.2500  13 H 3.07-3.31
Cs: 0.8189 0.9352 0.2500  13 H 3.07-3.31
Cs: 0.1811 0.0648 0.7500  13 H 3.07-3.31
Cs: 0.8189 0.5648 0.7500  13 H 3.07-3.31
H: 0.6307 0.0908 0.0258  1 B 1.22
H: 0.3693 0.5908 0.0258  1 B 1.22
H: 0.9184 0.4188 0.0574  1 B 1.20
H: 0.0816 0.9188 0.0574  1 B 1.20
H: 0.3112 0.1617 0.0583  1 B 1.22
H: 0.6888 0.6617 0.0583  1 B 1.22
H: 0.5401 0.0703 0.2500  1 B 1.20
H: 0.0474 0.1561 0.2500  1 B 1.20
H: 0.7879 0.2287 0.2500  1 B 1.20
H: 0.4679 0.2879 0.2500  1 B 1.22
H: 0.4599 0.5703 0.2500  1 B 1.20
H: 0.9526 0.6561 0.2500  1 B 1.20
H: 0.2121 0.7287 0.2500  1 B 1.20
H: 0.5321 0.7879 0.2500  1 B 1.22
H: 0.3112 0.1617 0.4417  1 B 1.22
H: 0.6888 0.6617 0.4417  1 B 1.22
H: 0.9184 0.4188 0.4426  1 B 1.20
H: 0.0816 0.9188 0.4426  1 B 1.20
H: 0.6307 0.0908 0.4742  1 B 1.22
H: 0.3693 0.5908 0.4742  1 B 1.22
H: 0.6307 0.4092 0.5258  1 B 1.22
H: 0.3693 0.9092 0.5258  1 B 1.22
H: 0.9184 0.0812 0.5574  1 B 1.20
H: 0.0816 0.5812 0.5574  1 B 1.20
H: 0.3112 0.3383 0.5583  1 B 1.22
H: 0.6888 0.8383 0.5583  1 B 1.22
H: 0.4679 0.2121 0.7500  1 B 1.22
H: 0.7879 0.2713 0.7500  1 B 1.20
H: 0.0474 0.3439 0.7500  1 B 1.20
H: 0.5401 0.4297 0.7500  1 B 1.20
H: 0.5321 0.7121 0.7500  1 B 1.22
H: 0.2121 0.7713 0.7500  1 B 1.20
H: 0.9526 0.8439 0.7500  1 B 1.20
H: 0.4599 0.9297 0.7500  1 B 1.20
H: 0.3112 0.3383 0.9417  1 B 1.22
H: 0.6888 0.8383 0.9417  1 B 1.22
H: 0.9184 0.0812 0.9426  1 B 1.20
H: 0.0816 0.5812 0.9426  1 B 1.20
H: 0.6307 0.4092 0.9742  1 B 1.22
H: 0.3693 0.9092 0.9742  1 B 1.22

[2]
Material: CuAg2B
Method: DFT, PBE
State: relaxed

Values from the calculation:
Total DFT energy (no corrections) = -3.18 eV/atom
Space group = No. 216
V = 14.037 A^3/atom

abc: 4.2982 4.2982 4.2982
angles: 60.00 60.00 60.00
Closest atoms and distances in Å follow each position.
Atoms (fractional coordinates):
Ag: 0.0000 0.0000 0.0000  4 Ag 2.63, 4 Cu 2.63
Ag: 0.7500 0.7500 0.7500  4 B 2.63, 4 Ag 2.63
B: 0.5000 0.5000 0.5000  4 Ag 2.63, 4 Cu 2.63
Cu: 0.2500 0.2500 0.2500  4 B 2.63, 4 Ag 2.63

[3]
Material: CuAgB4
Method: DFT, PBE
State: relaxed

Values from the calculation:
Total DFT energy (no corrections) = -5.05 eV/atom
Space group = No. 71
V = 9.744 A^3/atom
Polymorph energy (0 for the lowest one) = 0.057 eV/atom

abc: 4.8120 4.8120 4.8120
angles: 143.93 114.28 77.32
Closest atoms and distances in Å follow each position.
Atoms (fractional coordinates):
Ag: 0.0000 0.0000 0.0000  12 B 2.53-2.58
B: 0.5789 0.2431 0.3357  3 B 1.72-1.74
B: 0.0926 0.7569 0.3357  3 B 1.72-1.74
B: 0.9074 0.2431 0.6643  3 B 1.72-1.74
B: 0.4211 0.7569 0.6643  3 B 1.72-1.74
Cu: 0.5000 0.5000 0.0000  12 B 2.51-2.61

[4]
Material: CuAgB2
Method: DFT, PBE
State: relaxed

Values from the calculation:
Total DFT energy (no corrections) = -3.57 eV/atom
Space group = No. 216
V = 11.144 A^3/atom

abc: 3.9799 3.9799 3.9799
angles: 60.00 60.00 60.00
Closest atoms and distances in Å follow each position.
Atoms (fractional coordinates):
Ag: 0.5000 0.5000 0.5000  4 Cu 2.44, 4 B 2.44
B: 0.0000 0.0000 0.0000  4 B 2.44, 4 Cu 2.44
B: 0.7500 0.7500 0.7500  4 B 2.44, 4 Ag 2.44
Cu: 0.2500 0.2500 0.2500  4 Ag 2.44, 4 B 2.44

[5]
Material: CuAgB4
Method: DFT, PBE
State: relaxed

Values from the calculation:
Total DFT energy (no corrections) = -5.11 eV/atom
Space group = No. 191
V = 9.711 A^3/atom
Polymorph energy (0 for the lowest one) = 0.000 eV/atom

abc: 3.0058 3.0058 7.4465
angles: 90.00 90.00 120.00
Closest atoms and distances in Å follow each position.
Atoms (fractional coordinates):
Ag: 0.0000 0.0000 0.0000  12 B 2.73, 6 Ag 3.01
B: 0.6667 0.3333 0.2827  3 B 1.74
B: 0.3333 0.6667 0.2827  3 B 1.74
B: 0.6667 0.3333 0.7173  3 B 1.74
B: 0.3333 0.6667 0.7173  3 B 1.74
Cu: 0.0000 0.0000 0.5000  12 B 2.37

[6]
Material: FeCuAgB
Method: DFT, PBE
State: relaxed

Values from the calculation:
Magnetization = 2.54 μB/f.u.
Total DFT energy (no corrections) = -4.62 eV/atom
Space group = No. 216
V = 12.178 A^3/atom
Polymorph energy (0 for the lowest one) = 0.000 eV/atom

abc: 4.0994 4.0994 4.0994
angles: 60.00 60.00 60.00
Closest atoms and distances in Å follow each position.
Atoms (fractional coordinates):
Ag: 0.5000 0.5000 0.5000  4 Fe 2.51, 4 Cu 2.51
B: 0.0000 0.0000 0.0000  4 Fe 2.51, 4 Cu 2.51
Cu: 0.7500 0.7500 0.7500  4 Ag 2.51, 4 B 2.51
Fe: 0.2500 0.2500 0.2500  4 Ag 2.51, 4 B 2.51

[7]
Material: HfCuAgB
Method: DFT, PBE
State: relaxed

Values from the calculation:
Magnetization = 0.00 μB/f.u.
Total DFT energy (no corrections) = -5.41 eV/atom
Space group = No. 216
V = 14.464 A^3/atom
Polymorph energy (0 for the lowest one) = 0.000 eV/atom

abc: 4.3413 4.3413 4.3413
angles: 60.00 60.00 60.00
Closest atoms and distances in Å follow each position.
Atoms (fractional coordinates):
Ag: 0.5000 0.5000 0.5000  4 Hf 2.66, 4 Cu 2.66
B: 0.0000 0.0000 0.0000  4 Hf 2.66, 4 Cu 2.66
Cu: 0.7500 0.7500 0.7500  4 B 2.66, 4 Ag 2.66
Hf: 0.2500 0.2500 0.2500  4 B 2.66, 4 Ag 2.66

[8]
Material: HfCuAgB
Method: DFT, PBE
State: relaxed

Values from the calculation:
Magnetization = 0.00 μB/f.u.
Total DFT energy (no corrections) = -5.20 eV/atom
Space group = No. 216
V = 14.442 A^3/atom
Polymorph energy (0 for the lowest one) = 0.216 eV/atom

abc: 4.3391 4.3391 4.3391
angles: 60.00 60.00 60.00
Closest atoms and distances in Å follow each position.
Atoms (fractional coordinates):
Ag: 0.2500 0.2500 0.2500  4 Hf 2.66, 4 B 2.66
B: 0.0000 0.0000 0.0000  4 Cu 2.66, 4 Ag 2.66
Cu: 0.7500 0.7500 0.7500  4 B 2.66, 4 Hf 2.66
Hf: 0.5000 0.5000 0.5000  4 Ag 2.66, 4 Cu 2.66